(1)
An optimized crystal structure of TlTe2As. Source: Alexandria via LeMat-Bulk, functional PBE.

Computed properties:
E_form (uncorrected): 179 meV/atom
D(E_F): 0.58 states/eV per atom
total magnetization: 0.0 μB per formula unit

Lattice parameters (Å, degrees): 4.251 6.139 9.125 90.00 90.00 90.00
Space group Cmmm (No. 65)
Symmetry-distinct sites (fractional):
Tl1 0.000 0.000 0.000 x2
Te1 0.000 0.500 0.289 x4
As1 0.000 0.000 0.500 x2

(2)
An optimized crystal structure of CaHg3O. Source: Alexandria via LeMat-Bulk, functional PBE.

Computed properties:
energy relative to the lowest polymorph listed for this composition: 0.0 meV per atom
E_form (uncorrected): -33 meV/atom
D(E_F): 0.54 states/eV per atom
total magnetization: 0.0 μB per formula unit

Lattice parameters (Å, degrees): 4.980 4.980 4.980 90.00 90.00 90.00
Space group Pm-3m (No. 221)
Symmetry-distinct sites (fractional):
Ca1 0.000 0.000 0.000 x1
Hg1 0.000 0.500 0.500 x3
O1 0.500 0.500 0.500 x1

(3)
An optimized crystal structure of Y2Ho3Ru2. Source: Alexandria via LeMat-Bulk, functional PBE.

Computed properties:
ΔH_f (0 K): -0.3369 eV per atom
D(E_F): 0.82 states/eV per atom
total magnetization: 0.0 μB per formula unit

Lattice parameters (Å, degrees): 11.822 3.894 8.504 90.00 114.04 90.00
Space group C2/m (No. 12)
Symmetry-distinct sites (fractional):
Y1 0.164 0.000 0.309 x4
Ho1 0.000 0.500 0.500 x2
Ho2 0.122 0.500 0.929 x4
Ru1 0.176 0.000 0.724 x4

(4)
An optimized crystal structure of InCo2Os. Source: Alexandria via LeMat-Bulk, functional PBE.

Computed properties:
ΔH_f (0 K): 0.3936 eV per atom
D(E_F): 1.09 states/eV per atom
total magnetization: 2.7 μB per formula unit

Lattice parameters (Å, degrees): 2.7794 2.7794 25.5326 90.00 90.00 120.00
Space group R-3m (No. 166, hexagonal axes)
Symmetry-distinct sites (fractional):
In1 0.0000 0.0000 0.0000 x3
Co1 0.0000 0.0000 0.2453 x6
Os1 0.0000 0.0000 0.5000 x3

(5)
An optimized crystal structure of KS2N2. Source: Alexandria via LeMat-Bulk, functional PBE.

Computed properties:
energy relative to the lowest polymorph listed for this composition: 0.0 meV per atom
E_form (uncorrected): -324 meV/atom
D(E_F): 0.53 states/eV per atom
total magnetization: 0.0 μB per formula unit

Lattice parameters (Å, degrees): 3.538 5.114 7.341 90.70 90.18 90.03
Space group P-1 (No. 2)
Symmetry-distinct sites (fractional):
K1 0.000 0.000 0.000 x1
S1 0.499 0.498 0.863 x2
N1 0.000 0.002 0.424 x2

(6)
An optimized crystal structure of AcPm3Sn6. Source: Alexandria via LeMat-Bulk, functional PBE.

Computed properties:
ΔH_f (0 K): -0.5405 eV per atom
D(E_F): 0.61 states/eV per atom
total magnetization: 0.0 μB per formula unit

Lattice parameters (Å, degrees): 11.532 14.870 7.185 90.00 90.00 90.00
Space group Cmc2_1 (No. 36)
Symmetry-distinct sites (fractional):
Ac1 0.000 0.200 0.000 x4
Pm1 0.000 0.429 0.291 x4
Pm2 0.208 0.071 0.525 x8
Sn1 0.000 0.007 0.273 x4
Sn2 0.000 0.221 0.517 x4
Sn3 0.139 0.398 0.670 x8
Sn4 0.218 0.278 0.322 x8

(7)
An optimized crystal structure of SmAl12Pd6. Source: Alexandria via LeMat-Bulk, functional PBE.

Computed properties:
ΔH_f (0 K): -0.6128 eV per atom
D(E_F): 0.31 states/eV per atom
total magnetization: 0.0 μB per formula unit

Lattice parameters (Å, degrees): 11.3654 11.3654 8.7697 90.00 90.00 120.00
Space group R-3m (No. 166, hexagonal axes)
Symmetry-distinct sites (fractional):
Sm1 0.0000 0.0000 0.0000 x3
Al1 0.0000 0.3856 0.5000 x18
Al2 0.0840 0.1680 0.3172 x18
Pd1 0.0466 0.5233 0.2438 x18

(8)
An optimized crystal structure of InCBr. Source: Alexandria via LeMat-Bulk, functional PBE.

Computed properties:
E_form (uncorrected): 732 meV/atom
D(E_F): 0.12 states/eV per atom
total magnetization: 0.0 μB per formula unit

Lattice parameters (Å, degrees): 3.815 6.386 5.209 90.00 90.84 90.00
Space group P2_1 (No. 4)
Symmetry-distinct sites (fractional):
In1 0.250 0.000 0.033 x2
C1 0.249 0.671 0.872 x2
Br1 0.244 0.688 0.479 x2

(9)
An optimized crystal structure of SmDy8Tl2. Source: Alexandria via LeMat-Bulk, functional PBE.

Computed properties:
ΔH_f (0 K): -0.0029 eV per atom
D(E_F): 1.35 states/eV per atom
total magnetization: 0.0 μB per formula unit

Lattice parameters (Å, degrees): 8.852 15.169 5.641 90.00 114.03 90.00
Space group C2/m (No. 12)
Symmetry-distinct sites (fractional):
Sm1 0.000 0.000 0.000 x2
Dy1 0.000 0.219 0.000 x4
Dy2 0.095 0.500 0.796 x4
Dy3 0.208 0.114 0.620 x8
Tl1 0.000 0.306 0.500 x4

(10)
An optimized crystal structure of MgZr2Sc4. Source: Alexandria via LeMat-Bulk, functional PBE.

Computed properties:
ΔH_f (0 K): 0.0741 eV per atom
D(E_F): 1.41 states/eV per atom
total magnetization: 0.0 μB per formula unit

Lattice parameters (Å, degrees): 3.148 33.634 3.157 90.00 90.00 90.00
Space group Cmmm (No. 65)
Symmetry-distinct sites (fractional):
Mg1 0.000 0.000 0.000 x2
Zr1 0.000 0.290 0.500 x4
Sc1 0.000 0.142 0.000 x4
Sc2 0.000 0.430 0.500 x4

(11)
An optimized crystal structure of HfBeW3. Source: Alexandria via LeMat-Bulk, functional PBE.

Computed properties:
energy relative to the lowest polymorph listed for this composition: 2167.4 meV per atom
ΔH_f (0 K): 2.7975 eV per atom
D(E_F): 0.53 states/eV per atom
total magnetization: 0.0 μB per formula unit

Lattice parameters (Å, degrees): 4.779 4.779 4.779 90.00 90.00 90.00
Space group Pm-3m (No. 221)
Symmetry-distinct sites (fractional):
Hf1 0.000 0.000 0.000 x1
Be1 0.500 0.500 0.500 x1
W1 0.000 0.000 0.500 x3

(12)
An optimized crystal structure of SrAl2SiSn. Source: Alexandria via LeMat-Bulk, functional PBE.

Computed properties:
E_form (uncorrected): 188 meV/atom
D(E_F): 0.61 states/eV per atom
total magnetization: 0.0 μB per formula unit

Lattice parameters (Å, degrees): 4.905 4.905 5.590 90.00 90.00 90.00
Space group P4/mmm (No. 123)
Symmetry-distinct sites (fractional):
Sr1 0.000 0.000 0.000 x1
Al1 0.000 0.500 0.500 x2
Si1 0.500 0.500 0.500 x1
Sn1 0.500 0.500 0.000 x1

(13)
An optimized crystal structure of DyHo9Er2. Source: Alexandria via LeMat-Bulk, functional PBE.

Computed properties:
energy relative to the lowest polymorph listed for this composition: 0.0 meV per atom
ΔH_f (0 K): 0.0222 eV per atom
D(E_F): 1.45 states/eV per atom
total magnetization: 0.0 μB per formula unit

Lattice parameters (Å, degrees): 4.971 4.971 14.913 90.00 90.00 90.00
Space group P4/mmm (No. 123)
Symmetry-distinct sites (fractional):
Dy1 0.000 0.000 0.000 x1
Ho1 0.000 0.500 0.167 x4
Ho2 0.000 0.500 0.500 x2
Ho3 0.500 0.500 0.000 x1
Ho4 0.500 0.500 0.334 x2
Er1 0.000 0.000 0.334 x2

(14)
An optimized crystal structure of LaZrSc2Ru. Source: Alexandria via LeMat-Bulk, functional PBE.

Computed properties:
ΔH_f (0 K): -0.0910 eV per atom
D(E_F): 1.57 states/eV per atom
total magnetization: 0.0 μB per formula unit

Lattice parameters (Å, degrees): 5.091 5.091 5.118 90.00 90.00 90.00
Space group P4/mmm (No. 123)
Symmetry-distinct sites (fractional):
La1 0.000 0.000 0.000 x1
Zr1 0.500 0.500 0.000 x1
Sc1 0.000 0.500 0.500 x2
Ru1 0.500 0.500 0.500 x1

(15)
An optimized crystal structure of Na3SnS4. Source: Alexandria via LeMat-Bulk, functional PBE.

Computed properties:
E_form (uncorrected): -683 meV/atom
D(E_F): 1.38 states/eV per atom
total magnetization: 1.1 μB per formula unit

Lattice parameters (Å, degrees): 6.243 6.243 12.254 90.00 90.00 90.00
Space group I-42m (No. 121)
Symmetry-distinct sites (fractional):
Na1 0.000 0.000 0.000 x2
Na2 0.000 0.500 0.250 x4
Sn1 0.000 0.000 0.500 x2
S1 0.223 0.223 0.386 x8

(16)
An optimized crystal structure of Pa2Sb3Au. Source: Alexandria via LeMat-Bulk, functional PBE.

Computed properties:
energy relative to the lowest polymorph listed for this composition: 0.0 meV per atom
E_form (uncorrected): -481 meV/atom
D(E_F): 1.12 states/eV per atom
total magnetization: 0.0 μB per formula unit

Lattice parameters (Å, degrees): 4.306 4.306 8.472 90.00 90.00 90.00
Space group P-4m2 (No. 115)
Symmetry-distinct sites (fractional):
Pa1 0.000 0.500 0.226 x2
Sb1 0.000 0.500 0.854 x2
Sb2 0.500 0.500 0.500 x1
Au1 0.000 0.000 0.500 x1

(17)
An optimized crystal structure of Mg2TlCr. Source: Alexandria via LeMat-Bulk, functional PBE.

Computed properties:
energy relative to the lowest polymorph listed for this composition: 135.2 meV per atom
ΔH_f (0 K): 0.3747 eV per atom
D(E_F): 0.58 states/eV per atom
total magnetization: 4.1 μB per formula unit

Lattice parameters (Å, degrees): 3.2578 3.2578 29.2112 90.00 90.00 120.00
Space group R3m (No. 160, hexagonal axes)
Symmetry-distinct sites (fractional):
Mg1 0.0000 0.0000 0.0000 x3
Mg2 0.0000 0.0000 0.2434 x3
Tl1 0.0000 0.0000 0.7525 x3
Cr1 0.0000 0.0000 0.4994 x3

(18)
An optimized crystal structure of CdMoP. Source: Alexandria via LeMat-Bulk, functional PBE.

Computed properties:
energy relative to the lowest polymorph listed for this composition: 0.0 meV per atom
ΔH_f (0 K): -0.0364 eV per atom
D(E_F): 0.86 states/eV per atom
total magnetization: 0.0 μB per formula unit

Lattice parameters (Å, degrees): 3.182 3.182 10.178 90.00 90.00 90.00
Space group I4mm (No. 107)
Symmetry-distinct sites (fractional):
Cd1 0.000 0.000 0.000 x2
Mo1 0.000 0.000 0.299 x2
P1 0.000 0.000 0.703 x2

(19)
An optimized crystal structure of Er2TiRe3. Source: Alexandria via LeMat-Bulk, functional PBE.

Computed properties:
ΔH_f (0 K): -0.2548 eV per atom
D(E_F): 0.87 states/eV per atom
total magnetization: 0.0 μB per formula unit

Lattice parameters (Å, degrees): 9.311 5.366 5.486 90.00 124.50 90.00
Space group C2/m (No. 12)
Symmetry-distinct sites (fractional):
Er1 0.122 0.000 0.366 x4
Ti1 0.000 0.500 0.500 x2
Re1 0.000 0.500 0.000 x2
Re2 0.250 0.250 0.000 x4

(20)
An optimized crystal structure of HfUC2. Source: Alexandria via LeMat-Bulk, functional PBE.

Computed properties:
energy relative to the lowest polymorph listed for this composition: 0.0 meV per atom
ΔH_f (0 K): -0.5458 eV per atom
D(E_F): 0.69 states/eV per atom
total magnetization: 0.0 μB per formula unit

Lattice parameters (Å, degrees): 3.3574 3.3574 16.9629 90.00 90.00 120.00
Space group R-3m (No. 166, hexagonal axes)
Symmetry-distinct sites (fractional):
Hf1 0.0000 0.0000 0.0000 x3
U1 0.0000 0.0000 0.5000 x3
C1 0.0000 0.0000 0.2532 x6

(21)
An optimized crystal structure of MgReAs. Source: Alexandria via LeMat-Bulk, functional PBE.

Computed properties:
energy relative to the lowest polymorph listed for this composition: 0.0 meV per atom
ΔH_f (0 K): -0.0394 eV per atom
D(E_F): 0.08 states/eV per atom
total magnetization: 0.0 μB per formula unit

Lattice parameters (Å, degrees): 3.234 3.234 9.305 90.00 90.00 90.00
Space group I4mm (No. 107)
Symmetry-distinct sites (fractional):
Mg1 0.000 0.000 0.000 x2
Re1 0.000 0.000 0.311 x2
As1 0.000 0.000 0.690 x2

(22)
An optimized crystal structure of MgAlCrS4. Source: Alexandria via LeMat-Bulk, functional PBE.

Computed properties:
energy relative to the lowest polymorph listed for this composition: 0.0 meV per atom
E_form (uncorrected): -1052 meV/atom
total magnetization: 3.0 μB per formula unit

Lattice parameters (Å, degrees): 7.188 7.247 10.230 90.00 90.00 90.00
Space group Imma (No. 74)
Symmetry-distinct sites (fractional):
Mg1 0.000 0.250 0.127 x4
Al1 0.250 0.250 0.750 x4
Cr1 0.000 0.000 0.500 x4
S1 0.000 0.025 0.737 x8
S2 0.225 0.250 0.513 x8

(23)
An optimized crystal structure of Pm2Nd2Al3. Source: Alexandria via LeMat-Bulk, functional PBE.

Computed properties:
ΔH_f (0 K): -0.2579 eV per atom
D(E_F): 0.86 states/eV per atom
total magnetization: 0.0 μB per formula unit

Lattice parameters (Å, degrees): 3.517 31.391 3.500 90.00 90.00 90.00
Space group Cmmm (No. 65)
Symmetry-distinct sites (fractional):
Pm1 0.000 0.065 0.000 x4
Nd1 0.000 0.194 0.000 x4
Al1 0.000 0.369 0.500 x4
Al2 0.000 0.500 0.500 x2

(24)
An optimized crystal structure of La2LuC. Source: Alexandria via LeMat-Bulk, functional PBE.

Computed properties:
ΔH_f (0 K): 0.0897 eV per atom
D(E_F): 1.19 states/eV per atom
total magnetization: 0.0 μB per formula unit

Lattice parameters (Å, degrees): 3.6331 3.6331 30.1416 90.00 90.00 120.00
Space group R-3m (No. 166, hexagonal axes)
Symmetry-distinct sites (fractional):
La1 0.0000 0.0000 0.1178 x6
Lu1 0.0000 0.0000 0.0000 x3
C1 0.0000 0.0000 0.5000 x3

(25)
An optimized crystal structure of Zr3Zn3In2. Source: Alexandria via LeMat-Bulk, functional PBE.

Computed properties:
ΔH_f (0 K): -0.2321 eV per atom
D(E_F): 0.70 states/eV per atom
total magnetization: 0.0 μB per formula unit

Lattice parameters (Å, degrees): 4.149 10.917 14.073 90.00 90.00 90.00
Space group Cmcm (No. 63)
Symmetry-distinct sites (fractional):
Zr1 0.000 0.057 0.126 x8
Zr2 0.000 0.357 0.250 x4
Zn1 0.000 0.373 0.750 x4
Zn2 0.000 0.406 0.044 x8
In1 0.000 0.226 0.596 x8